{
  "formula": "SbIBr3",
  "functional": "PBE-GGA",
  "state": "optimized geometry",
  "cell": [[8.309, 0.000, 0.000], [0.000, 8.235, 0.000], [-0.022, 0.000, 15.249]],
  "species": ["Sb", "Sb", "Sb", "Sb", "I", "I", "I", "I", "Br", "Br", "Br", "Br", "Br", "Br", "Br", "Br", "Br", "Br", "Br", "Br"],
  "frac_coords": [[0.096, 0.196, 0.097], [0.096, 0.804, 0.597], [0.904, 0.196, 0.403], [0.904, 0.804, 0.903], [0.080, 0.401, 0.829], [0.080, 0.599, 0.329], [0.920, 0.401, 0.671], [0.920, 0.599, 0.171], [0.226, 0.060, 0.529], [0.226, 0.940, 0.029], [0.255, 0.173, 0.240], [0.255, 0.827, 0.740], [0.284, 0.396, 0.015], [0.284, 0.604, 0.515], [0.716, 0.396, 0.485], [0.716, 0.604, 0.985], [0.745, 0.173, 0.260], [0.745, 0.827, 0.760], [0.774, 0.060, 0.971], [0.774, 0.940, 0.471]],
  "e_form_raw_ev_per_atom": -0.45,
  "vol_a3_per_atom": 52.2,
  "dft_energy_ev_per_atom": -2.5844,
  "de_polymorph_ev_per_atom": 0.0000,
  "space_group": "P2/c (13)"
}

{
  "formula": "Sb3IBr",
  "functional": "PBE-GGA",
  "state": "optimized geometry",
  "cell": [[5.632, 0.000, 0.000], [0.000, 5.632, 0.000], [0.000, 0.000, 5.632]],
  "species": ["Sb", "Sb", "Sb", "I", "Br"],
  "frac_coords": [[0.000, 0.000, 0.500], [0.000, 0.500, 0.000], [0.500, 0.000, 0.000], [0.500, 0.500, 0.500], [0.000, 0.000, 0.000]],
  "e_form_raw_ev_per_atom": 0.92,
  "vol_a3_per_atom": 35.7,
  "dft_energy_ev_per_atom": -2.1971,
  "de_polymorph_ev_per_atom": 0.0000,
  "space_group": "Pm-3m (221)"
}

{
  "formula": "SbI3Br",
  "functional": "PBE-GGA",
  "state": "optimized geometry",
  "cell": [[5.991, 0.000, 0.000], [0.000, 5.991, 0.000], [0.000, 0.000, 5.991]],
  "species": ["Sb", "I", "I", "I", "Br"],
  "frac_coords": [[0.000, 0.000, 0.000], [0.000, 0.000, 0.500], [0.000, 0.500, 0.000], [0.500, 0.000, 0.000], [0.500, 0.500, 0.500]],
  "e_form_raw_ev_per_atom": 0.07,
  "vol_a3_per_atom": 43.0,
  "dft_energy_ev_per_atom": -2.0197,
  "de_polymorph_ev_per_atom": 0.3322,
  "space_group": "Pm-3m (221)"
}

{
  "formula": "SbIBr2",
  "functional": "PBE-GGA",
  "state": "optimized geometry",
  "cell": [[3.712, -6.320, 0.000], [3.712, 6.320, 0.000], [-0.378, 0.000, 7.419]],
  "species": ["Sb", "Sb", "I", "I", "Br", "Br", "Br", "Br"],
  "frac_coords": [[0.166, 0.834, 0.000], [0.834, 0.166, 0.000], [0.165, 0.508, 0.247], [0.508, 0.165, 0.247], [0.123, 0.123, 0.776], [0.484, 0.850, 0.782], [0.850, 0.484, 0.782], [0.864, 0.864, 0.216]],
  "e_form_raw_ev_per_atom": -0.51,
  "vol_a3_per_atom": 43.5,
  "dft_energy_ev_per_atom": -2.7667,
  "de_polymorph_ev_per_atom": 0.0000,
  "space_group": "Cm (8)"
}

{
  "formula": "SbI3Br",
  "functional": "PBE-GGA",
  "state": "optimized geometry",
  "cell": [[5.950, 0.000, 0.000], [0.000, 5.950, 0.000], [0.000, 0.000, 5.950]],
  "species": ["Sb", "I", "I", "I", "Br"],
  "frac_coords": [[0.000, 0.000, 0.000], [0.000, 0.500, 0.500], [0.500, 0.000, 0.500], [0.500, 0.500, 0.000], [0.500, 0.500, 0.500]],
  "e_form_raw_ev_per_atom": 0.63,
  "vol_a3_per_atom": 42.1,
  "dft_energy_ev_per_atom": -1.4550,
  "de_polymorph_ev_per_atom": 0.8969,
  "space_group": "Pm-3m (221)"
}

{
  "formula": "SbIBr3",
  "functional": "PBE-GGA",
  "state": "optimized geometry",
  "cell": [[6.112, 0.000, 0.000], [0.012, 7.636, 0.000], [0.477, 0.016, 9.610]],
  "species": ["Sb", "Sb", "I", "I", "Br", "Br", "Br", "Br", "Br", "Br"],
  "frac_coords": [[0.000, 0.000, 0.000], [0.500, 0.001, 0.500], [0.481, 0.751, 0.754], [0.980, 0.250, 0.253], [0.230, 0.800, 0.388], [0.241, 0.207, 0.635], [0.478, 0.243, 0.268], [0.730, 0.201, 0.888], [0.742, 0.794, 0.135], [0.979, 0.759, 0.768]],
  "e_form_raw_ev_per_atom": -0.38,
  "vol_a3_per_atom": 44.9,
  "dft_energy_ev_per_atom": -2.5219,
  "de_polymorph_ev_per_atom": 0.0625,
  "space_group": "P1 (1)"
}